The following is a DFT calculation (PBEsol) of Y2MgP after structural relaxation.

extended XYZ file:
```
4
Lattice="-3.541 0.805 -2.667 1.773 -2.675 -3.162 -1.189 -2.475 4.637" Properties=species:S:1:pos:R:3 pbc="T T T"
Y -2.807 -1.303 -0.472
Y -0.150 -3.043 -0.719
Mg -0.884 -0.935 -2.914
P 0.000 0.000 0.000
```

Summary:
**ρ**: 4.4 g/cm³
**Magnetization**: 0.0000 μB per atom
**Energy**: -5.722 eV/atom
**Excess energy over the best structure of this formula in the dataset**: 34.8 kJ/mol of atoms
**Energy relative to the elements**: -0.43 eV per atom

=====

The following is a DFT calculation (PBEsol) of BeAgW2 after structural relaxation.

extended XYZ file:
```
4
Lattice="2.669 0.006 0.000 -0.754 2.561 0.000 0.000 0.000 8.338" Properties=species:S:1:pos:R:3 pbc="T T T"
Be 0.958 1.283 2.076
Ag 0.000 0.000 3.919
W 0.958 1.283 6.306
W 0.000 0.000 0.206
```

Summary:
**ρ**: 14.1 g/cm³
**Magnetization**: 0.0000 μB per atom
**Energy**: -8.449 eV/atom
**Energy relative to the elements**: 0.28 eV per atom

=====

The following is a DFT calculation (PBEsol) of CaCdF3 after structural relaxation.

extended XYZ file:
```
5
Lattice="4.448 0.000 0.000 0.000 4.448 0.000 0.000 0.000 4.448" Properties=species:S:1:pos:R:3 pbc="T T T"
F 0.000 2.224 0.000
F 0.000 0.000 2.224
F 2.224 0.000 0.000
Cd 0.000 0.000 0.000
Ca 2.224 2.224 2.224
```

Summary:
**ρ**: 4.0 g/cm³
**Magnetization**: 0.0000 μB per atom
**Energy**: -4.009 eV/atom
**Uncorrected formation energy**: -2187 meV/atom

=====

The following is a DFT calculation (PBEsol) of ZrSc2Fe after structural relaxation.

extended XYZ file:
```
4
Lattice="-0.227 -2.032 4.244 1.668 -4.363 0.615 3.936 -0.687 2.496" Properties=species:S:1:pos:R:3 pbc="T T T"
Sc 4.033 -5.311 5.517
Sc 1.344 -1.770 1.839
Fe 0.000 0.000 0.000
Zr 2.689 -3.541 3.678
```

Summary:
**ρ**: 5.3 g/cm³
**Magnetization**: 0.2186 μB per atom
**Energy**: -7.527 eV/atom
**Excess energy over the best structure of this formula in the dataset**: 36.9 kJ/mol of atoms
**Energy relative to the elements**: 0.29 eV per atom